## BaPrCuTe3 (PBE)

Data for BaPrCuTe3 after structural relaxation.

a b c (Å): 4.520 7.860 11.822
angles (deg): 90.00 90.00 106.72
Positions (direct):
Te (0.360, 0.721, 0.570)
Te (0.360, 0.721, 0.930)
Te (0.640, 0.279, 0.430)
Te (0.929, 0.857, 0.250)
Te (0.071, 0.143, 0.750)
Te (0.640, 0.279, 0.070)
Cu (0.466, 0.935, 0.750)
Cu (0.534, 0.065, 0.250)
Pr (0.000, 0.000, 0.000)
Pr (0.000, 0.000, 0.500)
Ba (0.251, 0.502, 0.250)
Ba (0.749, 0.498, 0.750)

**SG**: P2_1/m, No. 11
**Formation energy without anion corrections**: -1.2520 eV per atom
**Mass density**: 6.0 g cm⁻³